Entry 1:
Material: Sr3ZrCd
Method: DFT, PBE
State: relaxed

Cell: 6.083 6.083 6.083 Å, 90.00 90.00 90.00°
Positions (direct):
Sr 0.000 0.000 0.500
Sr 0.000 0.500 0.000
Cd 0.500 0.500 0.500
Sr 0.500 0.000 0.000
Zr 0.000 0.000 0.000

- VASP energy (eV per atom) = -2.124
- crystal system = cubic
- DFT formation energy (meV/atom) = 778
- symmetry = Pm-3m, No. 221

Entry 2:
Material: NaScHgBi
Method: DFT, PBE
State: relaxed

Cell: 5.214 5.214 5.214 Å, 60.00 60.00 60.00°
Positions (direct):
Hg 0.750 0.750 0.750
Bi 0.250 0.250 0.250
Sc 0.500 0.500 0.500
Na 0.000 0.000 0.000

- VASP energy (eV per atom) = -3.256
- crystal system = cubic
- DFT formation energy (meV/atom) = -298
- symmetry = F-43m, No. 216

Entry 3:
Material: La3Tb2Dy7
Method: DFT, PBE
State: relaxed

Cell: 3.615 5.762 19.937 Å, 76.41 95.15 90.00°
Positions (direct):
Dy 0.415 0.978 0.827
Dy 0.070 0.549 0.141
Tb 0.358 0.573 0.713
La 0.500 0.500 0.000
Dy 0.272 0.715 0.542
Dy 0.000 0.000 0.000
La 0.823 0.132 0.642
Dy 0.930 0.451 0.859
La 0.177 0.868 0.358
Dy 0.728 0.285 0.458
Tb 0.642 0.427 0.287
Dy 0.585 0.022 0.173

- VASP energy (eV per atom) = -4.597
- crystal system = triclinic
- DFT formation energy (meV/atom) = 92
- symmetry = P-1, No. 2

Entry 4:
Material: PrDy2Ru
Method: DFT, PBE
State: relaxed

Cell: 3.453 3.453 9.115 Å, 90.00 90.00 90.00°
Positions (direct):
Ru 0.500 0.500 0.000
Dy 0.000 0.000 0.179
Pr 0.500 0.500 0.500
Dy 0.000 0.000 0.821

- VASP energy (eV per atom) = -6.043
- crystal system = tetragonal
- DFT formation energy (meV/atom) = -228
- symmetry = P4/mmm, No. 123

Entry 5:
Material: MnHgAu2
Method: DFT, PBE
State: relaxed

Cell: 4.282 4.282 4.042 Å, 90.00 90.00 89.99°
Positions (direct):
Au 0.000 0.000 0.000
Au 0.500 0.500 0.000
Mn 0.000 0.500 0.500
Hg 0.500 0.000 0.500

- VASP energy (eV per atom) = -3.910
- crystal system = tetragonal
- DFT formation energy (meV/atom) = 97
- symmetry = P4/mmm, No. 123

Entry 6:
Material: Ca2AlCu
Method: DFT, PBE
State: relaxed

Cell: 3.375 3.378 8.650 Å, 90.00 90.00 90.00°
Positions (direct):
Ca 0.000 0.000 0.941
Cu 0.000 0.000 0.556
Ca 0.500 0.500 0.318
Al 0.500 0.500 0.686

- VASP energy (eV per atom) = -3.041
- crystal system = tetragonal
- DFT formation energy (meV/atom) = -80
- symmetry = P4mm, No. 99

Entry 7:
Material: La8Cd2Co
Method: DFT, PBE
State: relaxed

Cell: 5.220 7.222 9.753 Å, 92.53 105.52 90.00°
Positions (direct):
La 0.592 0.503 0.184
Co 0.500 0.000 0.000
La 0.214 0.315 0.427
La 0.367 0.985 0.734
La 0.633 0.015 0.266
La 0.003 0.228 0.006
Cd 0.818 0.231 0.636
La 0.408 0.497 0.816
La 0.997 0.772 0.994
Cd 0.182 0.769 0.364
La 0.786 0.685 0.573

- VASP energy (eV per atom) = -4.515
- crystal system = monoclinic
- DFT formation energy (meV/atom) = -119
- symmetry = C2/m, No. 12

Entry 8:
Material: ThCu4Au4
Method: DFT, PBE
State: relaxed

Cell: 4.787 8.240 8.240 Å, 90.00 90.00 90.00°
Positions (direct):
Cu 0.500 0.206 0.105
Au 0.000 0.646 0.912
Au 0.000 0.088 0.646
Au 0.000 0.354 0.088
Cu 0.000 0.605 0.294
Th 0.500 0.500 0.500
Cu 0.500 0.895 0.206
Cu 0.000 0.395 0.706
Cu 0.000 0.294 0.395
Au 0.500 0.854 0.588
Cu 0.500 0.794 0.895
Th 0.000 0.000 0.000
Cu 0.000 0.706 0.605
Cu 0.500 0.105 0.794
Au 0.500 0.412 0.854
Au 0.000 0.912 0.354
Au 0.500 0.146 0.412
Au 0.500 0.588 0.146

- VASP energy (eV per atom) = -4.168
- crystal system = tetragonal
- DFT formation energy (meV/atom) = -66
- symmetry = I4/m, No. 87

Entry 9:
Material: Ta3Sb5
Method: DFT, PBE
State: relaxed

Cell: 5.917 5.917 5.005 Å, 90.00 90.00 100.24°
Positions (direct):
Ta 0.231 0.769 0.500
Ta 0.769 0.231 0.500
Sb 0.293 0.293 0.500
Sb 0.707 0.707 0.500
Sb 0.500 0.000 0.000
Sb 0.000 0.000 0.000
Ta 0.500 0.500 0.000
Sb 0.000 0.500 0.000

- E_form (uncorrected) (eV/atom) = 0.375
- VASP energy (eV per atom) = -6.646
- crystal system = orthorhombic
- symmetry = Cmmm, No. 65

Entry 10:
Material: PmReRu
Method: DFT, PBE
State: relaxed

Cell: 5.140 5.453 5.453 Å, 64.54 61.88 61.88°
Positions (direct):
Pm 0.123 0.627 0.627
Ru 0.500 0.000 0.500
Re 0.000 0.000 0.000
Re 0.500 0.000 0.000
Ru 0.500 0.500 0.000
Pm 0.877 0.373 0.373

- VASP energy (eV per atom) = -8.953
- crystal system = orthorhombic
- DFT formation energy (meV/atom) = -128
- symmetry = Imma, No. 74

Entry 11:
Material: ScTaAs2
Method: DFT, PBE
State: relaxed

Cell: 3.263 3.263 6.729 Å, 90.00 90.00 90.00°
Positions (direct):
As 0.000 0.000 0.522
As 0.000 0.000 0.978
Ta 0.500 0.500 0.750
Sc 0.500 0.500 0.250

- VASP energy (eV per atom) = -7.442
- crystal system = tetragonal
- DFT formation energy (meV/atom) = -571
- symmetry = P4/mmm, No. 123

Entry 12:
Material: Tb2CdI
Method: DFT, PBE
State: relaxed

Cell: 3.628 3.628 11.594 Å, 81.00 81.00 60.00°
Positions (direct):
I 0.500 0.500 0.500
Tb 0.907 0.907 0.280
Cd 0.000 0.000 0.000
Tb 0.093 0.093 0.720

- E_form (uncorrected) (eV/atom) = -0.082
- VASP energy (eV per atom) = -3.014
- crystal system = trigonal
- symmetry = R-3m, No. 166

Entry 13:
Material: BaZr2Pd2
Method: DFT, PBE
State: relaxed

Cell: 8.344 8.344 3.374 Å, 90.00 90.00 90.00°
Positions (direct):
Zr 0.848 0.348 0.500
Pd 0.622 0.122 0.000
Ba 0.000 0.000 0.000
Zr 0.652 0.848 0.500
Ba 0.500 0.500 0.000
Pd 0.878 0.622 0.000
Pd 0.378 0.878 0.000
Zr 0.348 0.152 0.500
Zr 0.152 0.652 0.500
Pd 0.122 0.378 0.000

- VASP energy (eV per atom) = -6.025
- crystal system = tetragonal
- DFT formation energy (meV/atom) = -144
- symmetry = P4/mbm, No. 127

Entry 14:
Material: CsTmZnCl6
Method: DFT, PBE
State: relaxed

Cell: 6.710 6.710 7.806 Å, 90.00 90.00 59.99°
Positions (direct):
Cl 0.012 0.373 0.312
Cl 0.012 0.614 0.688
Cs 0.000 0.000 0.000
Cl 0.614 0.373 0.688
Cl 0.373 0.614 0.312
Tm 0.667 0.667 0.500
Cl 0.373 0.012 0.688
Cl 0.614 0.012 0.312
Zn 0.333 0.333 0.500

- E_form (uncorrected) (eV/atom) = -1.850
- VASP energy (eV per atom) = -3.814
- crystal system = trigonal
- symmetry = P312, No. 149

Entry 15:
Material: Pm5HoEr4
Method: DFT, PBE
State: relaxed

Cell: 3.548 11.441 8.692 Å, 71.61 101.78 90.02°
Positions (direct):
Er 0.083 0.710 0.165
Pm 0.789 0.616 0.578
Er 0.604 0.203 0.208
Er 0.917 0.290 0.835
Er 0.396 0.797 0.792
Pm 0.500 0.500 0.000
Pm 0.812 0.076 0.624
Pm 0.188 0.924 0.376
Pm 0.211 0.384 0.422
Ho 0.500 0.000 0.000

- VASP energy (eV per atom) = -4.622
- crystal system = monoclinic
- DFT formation energy (meV/atom) = 36
- symmetry = C2/m, No. 12

Entry 16:
Material: BaNiS
Method: DFT, PBE
State: relaxed

Cell: 4.039 4.039 9.158 Å, 90.00 90.00 120.00°
Positions (direct):
Ba 0.000 0.000 0.000
Ba 0.000 0.000 0.500
Ni 0.333 0.667 0.750
Ni 0.667 0.333 0.250
S 0.667 0.333 0.750
S 0.333 0.667 0.250

- E_form (uncorrected) (eV/atom) = -0.973
- VASP energy (eV per atom) = -4.916
- crystal system = hexagonal
- symmetry = P6_3/mmc, No. 194

Entry 17:
Material: LuZrIr2
Method: DFT, PBE
State: relaxed

Cell: 3.310 3.310 6.810 Å, 90.00 90.00 90.00°
Positions (direct):
Ir 0.000 0.000 0.236
Ir 0.000 0.000 0.764
Lu 0.500 0.500 0.500
Zr 0.500 0.500 0.000

- VASP energy (eV per atom) = -8.585
- crystal system = tetragonal
- DFT formation energy (meV/atom) = -887
- symmetry = P4/mmm, No. 123

Entry 18:
Material: SiHg2Os
Method: DFT, PBE
State: relaxed

Cell: 2.894 2.894 9.060 Å, 90.00 90.00 90.00°
Positions (direct):
Hg 0.000 0.000 0.016
Hg 0.000 0.000 0.484
Si 0.500 0.500 0.750
Os 0.500 0.500 0.250

- E_form (uncorrected) (eV/atom) = 0.955
- VASP energy (eV per atom) = -3.359
- crystal system = tetragonal
- symmetry = P4/mmm, No. 123

Entry 19:
Material: Th2HgB
Method: DFT, PBE
State: relaxed

Cell: 3.817 3.817 8.485 Å, 77.00 77.00 60.00°
Positions (direct):
Th 0.273 0.273 0.181
Hg 0.500 0.500 0.500
Th 0.727 0.727 0.819
B 0.000 0.000 0.000

- VASP energy (eV per atom) = -5.642
- crystal system = trigonal
- DFT formation energy (meV/atom) = -188
- symmetry = R-3m, No. 166

Entry 20:
Material: ZnAgSb
Method: DFT, PBE
State: relaxed

Cell: 4.714 4.882 7.640 Å, 71.72 68.72 59.06°
Positions (direct):
Ag 0.172 0.193 0.943
Ag 0.828 0.807 0.057
Zn 0.261 0.943 0.351
Sb 0.618 0.301 0.280
Zn 0.739 0.057 0.649
Sb 0.382 0.699 0.720

- E_form (uncorrected) (eV/atom) = 0.038
- VASP energy (eV per atom) = -2.711
- crystal system = triclinic
- symmetry = P-1, No. 2

Entry 21:
Material: TiCoTe3
Method: DFT, PBE
State: relaxed

Cell: 5.303 5.303 5.303 Å, 90.00 90.00 90.00°
Positions (direct):
Co 0.500 0.500 0.500
Te 0.500 0.000 0.000
Te 0.000 0.500 0.000
Ti 0.000 0.000 0.000
Te 0.000 0.000 0.500

- E_form (uncorrected) (eV/atom) = 0.584
- VASP energy (eV per atom) = -4.302
- crystal system = cubic
- symmetry = Pm-3m, No. 221

Entry 22:
Material: Ac4Tl2CdIn
Method: DFT, PBE
State: relaxed

Cell: 5.822 5.822 10.089 Å, 73.23 73.23 60.00°
Positions (direct):
Tl 0.748 0.748 0.755
Ac 0.375 0.375 0.875
In 0.500 0.500 0.500
Ac 0.125 0.125 0.625
Tl 0.252 0.252 0.245
Ac 0.875 0.875 0.375
Ac 0.625 0.625 0.125
Cd 0.000 0.000 0.000

- VASP energy (eV per atom) = -3.453
- crystal system = trigonal
- DFT formation energy (meV/atom) = -351
- symmetry = R-3m, No. 166

Entry 23:
Material: Fe3Pt2Rh7
Method: DFT, PBE
State: relaxed

Cell: 3.207 4.137 13.777 Å, 98.42 90.00 90.00°
Positions (direct):
Fe 0.500 0.500 0.000
Rh 0.000 0.570 0.131
Rh 0.500 0.913 0.836
Rh 0.500 0.790 0.580
Pt 0.500 0.647 0.291
Pt 0.500 0.353 0.709
Rh 0.500 0.210 0.420
Fe 0.000 0.282 0.566
Rh 0.000 0.000 0.000
Fe 0.000 0.718 0.434
Rh 0.500 0.087 0.164
Rh 0.000 0.430 0.869

- VASP energy (eV per atom) = -7.149
- crystal system = monoclinic
- DFT formation energy (meV/atom) = 262
- symmetry = P2/m, No. 10

Entry 24:
Material: Co2GeB
Method: DFT, PBE
State: relaxed

Cell: 4.980 4.980 5.632 Å, 63.76 63.76 90.00°
Positions (direct):
B 0.250 0.750 0.500
Co 0.375 0.451 0.750
Co 0.201 0.625 0.250
Co 0.549 0.125 0.250
Ge 0.750 0.250 0.500
Ge 0.000 0.000 0.000
B 0.500 0.500 0.000
Co 0.875 0.799 0.750

- VASP energy (eV per atom) = -5.936
- crystal system = tetragonal
- DFT formation energy (meV/atom) = 441
- symmetry = I-42d, No. 122

Entry 25:
Material: Pm6Ho2In
Method: DFT, PBE
State: relaxed

Cell: 6.267 11.427 11.427 Å, 47.94 105.98 105.98°
Positions (direct):
Pm 0.565 0.994 0.849
Pm 0.065 0.849 0.994
Pm 0.280 0.493 0.350
Pm 0.720 0.507 0.650
Ho 0.432 0.172 0.329
Ho 0.568 0.828 0.671
Ho 0.068 0.671 0.828
Pm 0.081 0.081 0.582
Pm 0.220 0.650 0.507
Ho 0.932 0.329 0.172
Pm 0.419 0.418 0.919
Pm 0.435 0.006 0.151
Pm 0.581 0.582 0.081
Pm 0.935 0.151 0.006
In 0.250 0.249 0.751
Pm 0.919 0.919 0.418
Pm 0.780 0.350 0.493
In 0.750 0.751 0.249

- VASP energy (eV per atom) = -4.530
- crystal system = monoclinic
- DFT formation energy (meV/atom) = -41
- symmetry = C2/c, No. 15